Record 1
{"formula": "CeDy4Er3", "functional": "PBE", "state": "relaxed", "space_group": "C2/m", "final_energy_ev_per_atom": -4.56, "formation_energy_ev_per_fu": 1.57, "polymorph_energy_mev_per_atom": 161, "dos_ef_per_ev_atom": 2.0191, "lattice_angstrom": [[23.2419, 0.0000, 0.0000], [0.0000, 3.4110, 0.0000], [-1.9197, 0.0000, 6.3979]], "species": ["Ce", "Ce", "Dy", "Dy", "Dy", "Dy", "Dy", "Dy", "Dy", "Dy", "Er", "Er", "Er", "Er", "Er", "Er"], "frac_coords": [[0.0000, 0.0000, 0.0000], [0.5000, 0.5000, 0.0000], [0.1244, 0.5000, 0.8809], [0.2407, 0.0000, 0.2418], [0.2593, 0.5000, 0.7582], [0.3756, 0.0000, 0.1191], [0.6244, 0.0000, 0.8809], [0.7407, 0.5000, 0.2418], [0.7593, 0.0000, 0.7582], [0.8756, 0.5000, 0.1191], [0.0000, 0.5000, 0.5000], [0.1246, 0.5000, 0.3666], [0.3754, 0.0000, 0.6334], [0.5000, 0.0000, 0.5000], [0.6246, 0.0000, 0.3666], [0.8754, 0.5000, 0.6334]]}

=====

Record 2
{"formula": "La2CdInPd6", "functional": "PBE", "state": "relaxed", "space_group": "Fm-3m", "final_energy_ev_per_atom": -4.57, "formation_energy_ev_per_fu": -1.02, "dos_ef_per_ev_atom": 0.6189, "lattice_angstrom": [[0.0000, 4.9775, 4.9775], [4.9775, 0.0000, 4.9775], [4.9775, 4.9775, 0.0000]], "species": ["La", "La", "Cd", "In", "Pd", "Pd", "Pd", "Pd", "Pd", "Pd"], "frac_coords": [[0.2500, 0.2500, 0.2500], [0.7500, 0.7500, 0.7500], [0.0000, 0.0000, 0.0000], [0.5000, 0.5000, 0.5000], [0.2509, 0.2509, 0.7491], [0.2509, 0.7491, 0.2509], [0.2509, 0.7491, 0.7491], [0.7491, 0.2509, 0.2509], [0.7491, 0.2509, 0.7491], [0.7491, 0.7491, 0.2509]]}

=====

Record 3
{"formula": "GdThZnAu", "functional": "PBE", "state": "relaxed", "space_group": "F-43m", "final_energy_ev_per_atom": -6.96, "formation_energy_ev_per_fu": -1.79, "dos_ef_per_ev_atom": 0.7932, "lattice_angstrom": [[7.3370, 0.0000, 0.0000], [0.0000, 7.3370, 0.0000], [0.0000, 0.0000, 7.3370]], "species": ["Gd", "Gd", "Gd", "Gd", "Th", "Th", "Th", "Th", "Zn", "Zn", "Zn", "Zn", "Au", "Au", "Au", "Au"], "frac_coords": [[0.0000, 0.0000, 0.0000], [0.0000, 0.5000, 0.5000], [0.5000, 0.0000, 0.5000], [0.5000, 0.5000, 0.0000], [0.0000, 0.0000, 0.5000], [0.0000, 0.5000, 0.0000], [0.5000, 0.0000, 0.0000], [0.5000, 0.5000, 0.5000], [0.2500, 0.2500, 0.2500], [0.2500, 0.7500, 0.7500], [0.7500, 0.2500, 0.7500], [0.7500, 0.7500, 0.2500], [0.2500, 0.2500, 0.7500], [0.2500, 0.7500, 0.2500], [0.7500, 0.2500, 0.2500], [0.7500, 0.7500, 0.7500]]}

=====

Record 4
{"formula": "GdHoTlGe", "functional": "PBE", "state": "relaxed", "space_group": "F-43m", "final_energy_ev_per_atom": -6.85, "formation_energy_ev_per_fu": -1.75, "dos_ef_per_ev_atom": 0.7276, "lattice_angstrom": [[7.4058, 0.0000, 0.0000], [0.0000, 7.4058, 0.0000], [0.0000, 0.0000, 7.4058]], "species": ["Gd", "Gd", "Gd", "Gd", "Ho", "Ho", "Ho", "Ho", "Tl", "Tl", "Tl", "Tl", "Ge", "Ge", "Ge", "Ge"], "frac_coords": [[0.0000, 0.0000, 0.0000], [0.0000, 0.5000, 0.5000], [0.5000, 0.0000, 0.5000], [0.5000, 0.5000, 0.0000], [0.0000, 0.0000, 0.5000], [0.0000, 0.5000, 0.0000], [0.5000, 0.0000, 0.0000], [0.5000, 0.5000, 0.5000], [0.2500, 0.2500, 0.7500], [0.2500, 0.7500, 0.2500], [0.7500, 0.2500, 0.2500], [0.7500, 0.7500, 0.7500], [0.2500, 0.2500, 0.2500], [0.2500, 0.7500, 0.7500], [0.7500, 0.2500, 0.7500], [0.7500, 0.7500, 0.2500]]}

=====

Record 5
{"formula": "PrLu2Ir", "functional": "PBE", "state": "relaxed", "space_group": "R-3m", "final_energy_ev_per_atom": -6.05, "formation_energy_ev_per_fu": -1.53, "polymorph_energy_mev_per_atom": 124, "dos_ef_per_ev_atom": 1.0068, "lattice_angstrom": [[3.8789, 0.0000, 0.0000], [-1.9395, 3.3592, 0.0000], [0.0000, 0.0000, 27.4462]], "species": ["Pr", "Pr", "Pr", "Lu", "Lu", "Lu", "Lu", "Lu", "Lu", "Ir", "Ir", "Ir"], "frac_coords": [[0.0000, 0.0000, 0.0000], [0.3333, 0.6667, 0.6667], [0.6667, 0.3333, 0.3333], [0.0000, 0.0000, 0.2216], [0.0000, 0.0000, 0.7784], [0.3333, 0.6667, 0.4451], [0.3333, 0.6667, 0.8883], [0.6667, 0.3333, 0.1117], [0.6667, 0.3333, 0.5549], [0.0000, 0.0000, 0.5000], [0.3333, 0.6667, 0.1667], [0.6667, 0.3333, 0.8333]]}

=====

Record 6
{"formula": "Ce2NdGa2", "functional": "PBE", "state": "relaxed", "space_group": "P2_1/m", "final_energy_ev_per_atom": -4.87, "formation_energy_ev_per_fu": -1.69, "dos_ef_per_ev_atom": 1.9128, "lattice_angstrom": [[6.1493, 0.0000, 0.0000], [0.0000, 4.3502, 0.0000], [-2.6707, 0.0000, 9.7188]], "species": ["Ce", "Ce", "Ce", "Ce", "Nd", "Nd", "Ga", "Ga", "Ga", "Ga"], "frac_coords": [[0.0590, 0.2500, 0.3291], [0.1288, 0.2500, 0.0603], [0.8712, 0.7500, 0.9397], [0.9410, 0.7500, 0.6709], [0.4467, 0.2500, 0.7364], [0.5533, 0.7500, 0.2636], [0.3566, 0.7500, 0.5134], [0.3671, 0.7500, 0.9377], [0.6329, 0.2500, 0.0623], [0.6434, 0.2500, 0.4866]]}

=====

Record 7
{"formula": "FeIr4Rh3", "functional": "PBE", "state": "relaxed", "space_group": "C2/m", "final_energy_ev_per_atom": -8.26, "formation_energy_ev_per_fu": -0.13, "polymorph_energy_mev_per_atom": 0, "dos_ef_per_ev_atom": 1.2434, "lattice_angstrom": [[18.2602, 0.0000, 0.0000], [0.0000, 2.7257, 0.0000], [-1.1985, 0.0000, 4.5571]], "species": ["Fe", "Fe", "Ir", "Ir", "Ir", "Ir", "Ir", "Ir", "Ir", "Ir", "Rh", "Rh", "Rh", "Rh", "Rh", "Rh"], "frac_coords": [[0.0000, 0.0000, 0.0000], [0.5000, 0.5000, 0.0000], [0.1220, 0.5000, 0.9599], [0.1242, 0.0000, 0.4593], [0.3758, 0.5000, 0.5407], [0.3780, 0.0000, 0.0401], [0.6220, 0.0000, 0.9599], [0.6242, 0.5000, 0.4593], [0.8758, 0.0000, 0.5407], [0.8780, 0.5000, 0.0401], [0.0000, 0.5000, 0.5000], [0.2492, 0.0000, 0.2493], [0.2508, 0.5000, 0.7507], [0.5000, 0.0000, 0.5000], [0.7492, 0.5000, 0.2493], [0.7508, 0.0000, 0.7507]]}

=====

Record 8
{"formula": "Na2AcCd", "functional": "PBE", "state": "relaxed", "space_group": "R-3m", "final_energy_ev_per_atom": -1.76, "formation_energy_ev_per_fu": 0.64, "polymorph_energy_mev_per_atom": 71, "dos_ef_per_ev_atom": 0.9660, "lattice_angstrom": [[3.6812, 0.0000, 0.0000], [-1.8406, 3.1880, 0.0000], [0.0000, 0.0000, 37.0548]], "species": ["Na", "Na", "Na", "Na", "Na", "Na", "Ac", "Ac", "Ac", "Cd", "Cd", "Cd"], "frac_coords": [[0.0000, 0.0000, 0.0977], [0.0000, 0.0000, 0.9023], [0.3333, 0.6667, 0.5690], [0.3333, 0.6667, 0.7644], [0.6667, 0.3333, 0.2356], [0.6667, 0.3333, 0.4310], [0.0000, 0.0000, 0.0000], [0.3333, 0.6667, 0.6667], [0.6667, 0.3333, 0.3333], [0.0000, 0.0000, 0.5000], [0.3333, 0.6667, 0.1667], [0.6667, 0.3333, 0.8333]]}